Record 1
TlIn2Pb | GGA-PBE | optimized geometry

Total magnetic moment (μB per formula unit): 0.0
Total DFT energy (no corrections) (eV per cell): -11.4
DFT formation energy (meV/atom): 27
SG: I4/mmm, No. 139

Cell: 6.0315 6.0315 6.0315 Å, 132.52 132.52 69.41°
With the nearest neighbours (Å) after each atom.
Fractional coordinates of all 4 atoms:
Pb 0.2500 0.7500 0.5000  4 Tl 3.43, 8 In 3.47
Tl 0.7500 0.2500 0.5000  4 Pb 3.43, 8 In 3.47
In 0.0000 0.0000 0.0000  4 In 3.43, 4 Tl 3.47, 4 Pb 3.47
In 0.5000 0.5000 0.0000  4 In 3.43, 4 Pb 3.47, 4 Tl 3.47

=====

Record 2
TlIn2Pb2 | GGA-PBE | optimized geometry

Total magnetic moment (μB per formula unit): 0.0
Total DFT energy (no corrections) (eV per cell): -15.2
DFT formation energy (meV/atom): 15
SG: I4/mmm, No. 139

Cell: 3.4920 3.4920 12.7030 Å, 97.90 97.90 90.00°
With the nearest neighbours (Å) after each atom.
Fractional coordinates of all 5 atoms:
Tl 0.0000 0.0000 0.0000  4 Tl 3.49, 8 In 3.52
In 0.6008 0.6008 0.2016  4 Pb 3.47, 4 In 3.49, 4 Tl 3.52
In 0.3992 0.3992 0.7984  4 Pb 3.47, 4 In 3.49, 4 Tl 3.52
Pb 0.8013 0.8013 0.6025  4 In 3.47, 8 Pb 3.49-3.55
Pb 0.1987 0.1987 0.3975  4 In 3.47, 8 Pb 3.49-3.55

=====

Record 3
Tl3In12Pb5 | GGA-PBE | optimized geometry

Total magnetic moment (μB per formula unit): 0.0
Total DFT energy (no corrections) (eV per cell): -217.0
DFT formation energy (meV/atom): 212
SG: Ia-3d, No. 230

Cell: 15.4106 15.4106 15.4106 Å, 109.47 109.47 109.47°
With the nearest neighbours (Å) after each atom.
Fractional coordinates of all 80 atoms:
Tl 0.7500 0.3750 0.1250  4 In 3.03
Tl 0.8750 0.7500 0.1250  4 In 3.03
Tl 0.3750 0.7500 0.6250  4 In 3.03
Tl 0.2500 0.1250 0.3750  4 In 3.03
Tl 0.8750 0.1250 0.2500  4 In 3.03
Tl 0.3750 0.6250 0.2500  4 In 3.03
Tl 0.6250 0.3750 0.7500  4 In 3.03
Tl 0.1250 0.8750 0.7500  4 In 3.03
Tl 0.7500 0.8750 0.6250  4 In 3.03
Tl 0.6250 0.2500 0.3750  4 In 3.03
Tl 0.1250 0.2500 0.8750  4 In 3.03
Tl 0.2500 0.6250 0.8750  4 In 3.03
Pb 0.1250 0.3750 0.2500  4 In 2.99
Pb 0.0000 0.5000 0.0000  6 In 3.08
Pb 0.0000 0.0000 0.0000  6 In 3.08
Pb 0.3750 0.2500 0.1250  4 In 2.99
Pb 0.5000 0.0000 0.5000  6 In 3.08
Pb 0.5000 0.5000 0.0000  6 In 3.08
Pb 0.1250 0.7500 0.3750  4 In 2.99
Pb 0.7500 0.1250 0.8750  4 In 2.99
Pb 0.7500 0.6250 0.3750  4 In 2.99
Pb 0.3750 0.1250 0.7500  4 In 2.99
Pb 0.6250 0.8750 0.2500  4 In 2.99
Pb 0.5000 0.5000 0.5000  6 In 3.08
Pb 0.5000 0.0000 0.0000  6 In 3.08
Pb 0.0000 0.0000 0.5000  6 In 3.08
Pb 0.2500 0.3750 0.6250  4 In 2.99
Pb 0.2500 0.8750 0.1250  4 In 2.99
Pb 0.0000 0.5000 0.5000  6 In 3.08
Pb 0.8750 0.2500 0.6250  4 In 2.99
Pb 0.6250 0.7500 0.8750  4 In 2.99
Pb 0.8750 0.6250 0.7500  4 In 2.99
In 0.7338 0.1345 0.0658  2 Pb 2.99-3.08, 1 Tl 3.03, 1 In 3.28
In 0.3320 0.5658 0.4313  2 Pb 2.99-3.08, 1 Tl 3.03, 1 In 3.28
In 0.9342 0.3655 0.2662  2 Pb 2.99-3.08, 1 Tl 3.03, 1 In 3.28
In 0.5658 0.2338 0.1345  2 Pb 2.99-3.08, 1 Tl 3.03, 1 In 3.28
In 0.5993 0.7338 0.6680  2 Pb 2.99-3.08, 1 Tl 3.03, 1 In 3.28
In 0.9342 0.5687 0.1680  2 Pb 2.99-3.08, 1 Tl 3.03, 1 In 3.28
In 0.3320 0.7662 0.4007  2 Pb 2.99-3.08, 1 Tl 3.03, 1 In 3.28
In 0.0687 0.9007 0.1345  2 Pb 2.99-3.08, 1 Tl 3.03, 1 In 3.28
In 0.5687 0.9342 0.6680  2 Pb 2.99-3.08, 1 Tl 3.03, 1 In 3.28
In 0.7338 0.5993 0.1680  2 Pb 2.99-3.08, 1 Tl 3.03, 1 In 3.28
In 0.7662 0.4342 0.3655  2 Pb 2.99-3.08, 1 Tl 3.03, 1 In 3.28
In 0.8320 0.9313 0.0658  2 Pb 2.99-3.08, 1 Tl 3.03, 1 In 3.28
In 0.1345 0.7338 0.5658  2 Pb 2.99-3.08, 1 Tl 3.03, 1 In 3.28
In 0.3655 0.4313 0.0993  2 Pb 2.99-3.08, 1 Tl 3.03, 1 In 3.28
In 0.0993 0.9313 0.3655  2 Pb 2.99-3.08, 1 Tl 3.03, 1 In 3.28
In 0.4007 0.1345 0.5687  2 Pb 2.99-3.08, 1 Tl 3.03, 1 In 3.28
In 0.0993 0.1680 0.2338  2 Pb 2.99-3.08, 1 Tl 3.03, 1 In 3.28
In 0.4342 0.6680 0.0687  2 Pb 2.99-3.08, 1 Tl 3.03, 1 In 3.28
In 0.8320 0.9007 0.2662  2 Pb 2.99-3.08, 1 Tl 3.03, 1 In 3.28
In 0.1345 0.4007 0.0687  2 Pb 2.99-3.08, 1 Tl 3.03, 1 In 3.28
In 0.3655 0.9342 0.7662  2 Pb 2.99-3.08, 1 Tl 3.03, 1 In 3.28
In 0.5687 0.6345 0.4007  2 Pb 2.99-3.08, 1 Tl 3.03, 1 In 3.28
In 0.9313 0.8320 0.5658  2 Pb 2.99-3.08, 1 Tl 3.03, 1 In 3.28
In 0.7662 0.3320 0.9007  2 Pb 2.99-3.08, 1 Tl 3.03, 1 In 3.28
In 0.4313 0.3655 0.5993  2 Pb 2.99-3.08, 1 Tl 3.03, 1 In 3.28
In 0.0687 0.1680 0.4342  2 Pb 2.99-3.08, 1 Tl 3.03, 1 In 3.28
In 0.2338 0.6680 0.0993  2 Pb 2.99-3.08, 1 Tl 3.03, 1 In 3.28
In 0.1680 0.0993 0.7338  2 Pb 2.99-3.08, 1 Tl 3.03, 1 In 3.28
In 0.6345 0.0658 0.2338  2 Pb 2.99-3.08, 1 Tl 3.03, 1 In 3.28
In 0.8655 0.5993 0.9313  2 Pb 2.99-3.08, 1 Tl 3.03, 1 In 3.28
In 0.5658 0.3320 0.9313  2 Pb 2.99-3.08, 1 Tl 3.03, 1 In 3.28
In 0.5993 0.8655 0.4313  2 Pb 2.99-3.08, 1 Tl 3.03, 1 In 3.28
In 0.9007 0.8320 0.7662  2 Pb 2.99-3.08, 1 Tl 3.03, 1 In 3.28
In 0.9007 0.0687 0.6345  2 Pb 2.99-3.08, 1 Tl 3.03, 1 In 3.28
In 0.8655 0.2662 0.4342  2 Pb 2.99-3.08, 1 Tl 3.03, 1 In 3.28
In 0.1680 0.0687 0.9342  2 Pb 2.99-3.08, 1 Tl 3.03, 1 In 3.28
In 0.6345 0.5687 0.9007  2 Pb 2.99-3.08, 1 Tl 3.03, 1 In 3.28
In 0.4313 0.0658 0.3320  2 Pb 2.99-3.08, 1 Tl 3.03, 1 In 3.28
In 0.2662 0.4007 0.8320  2 Pb 2.99-3.08, 1 Tl 3.03, 1 In 3.28
In 0.2338 0.5658 0.6345  2 Pb 2.99-3.08, 1 Tl 3.03, 1 In 3.28
In 0.9313 0.0993 0.8655  2 Pb 2.99-3.08, 1 Tl 3.03, 1 In 3.28
In 0.6680 0.2338 0.5993  2 Pb 2.99-3.08, 1 Tl 3.03, 1 In 3.28
In 0.4342 0.7662 0.8655  2 Pb 2.99-3.08, 1 Tl 3.03, 1 In 3.28
In 0.0658 0.4313 0.8320  2 Pb 2.99-3.08, 1 Tl 3.03, 1 In 3.28
In 0.4007 0.2662 0.3320  2 Pb 2.99-3.08, 1 Tl 3.03, 1 In 3.28
In 0.0658 0.6345 0.7338  2 Pb 2.99-3.08, 1 Tl 3.03, 1 In 3.28
In 0.6680 0.4342 0.5687  2 Pb 2.99-3.08, 1 Tl 3.03, 1 In 3.28
In 0.2662 0.8655 0.9342  2 Pb 2.99-3.08, 1 Tl 3.03, 1 In 3.28

=====

Record 4
TlInPb2 | GGA-PBE | optimized geometry

Total magnetic moment (μB per formula unit): 0.0
Total DFT energy (no corrections) (eV per cell): -12.4
DFT formation energy (meV/atom): 31
SG: Cmm2, No. 35

Cell: 3.4184 3.4184 11.6792 Å, 90.00 90.00 115.98°
With the nearest neighbours (Å) after each atom.
Fractional coordinates of all 4 atoms:
Pb 0.0000 0.0000 0.9943  2 In 3.38, 8 Pb 3.42-3.62
Pb 0.5000 0.5000 0.2503  8 Pb 3.42-3.62, 2 Tl 3.49
Tl 0.0000 0.0000 0.5056  2 In 3.38, 6 Tl 3.42-3.62, 2 Pb 3.49
In 0.5000 0.5000 0.7498  2 Tl 3.38, 2 Pb 3.38, 6 In 3.42-3.62

=====

Record 5
Tl2InPb | GGA-PBE | optimized geometry

Total magnetic moment (μB per formula unit): 0.0
Total DFT energy (no corrections) (eV per cell): -11.2
DFT formation energy (meV/atom): -2
SG: R-3m, No. 166

Cell: 11.7979 11.7979 11.7979 Å, 16.80 16.80 16.80°
With the nearest neighbours (Å) after each atom.
Fractional coordinates of all 4 atoms:
Pb 0.7500 0.7500 0.7500  6 Pb 3.45, 6 Tl 3.65
Tl 0.9956 0.9956 0.9956  3 In 3.40, 6 Tl 3.45, 3 Pb 3.65
Tl 0.5044 0.5044 0.5044  3 In 3.40, 6 Tl 3.45, 3 Pb 3.65
In 0.2500 0.2500 0.2500  6 Tl 3.40, 6 In 3.45

=====

Record 6
Tl12In7Pb | GGA-PBE | optimized geometry

Total magnetic moment (μB per formula unit): 0.0
Total DFT energy (no corrections) (eV per cell): -50.3
DFT formation energy (meV/atom): 49
SG: R-3m, No. 166

Cell: 8.6568 8.6568 8.6568 Å, 101.32 101.32 101.32°
With the nearest neighbours (Å) after each atom.
Fractional coordinates of all 20 atoms:
Tl 0.0002 0.2607 0.7390  6 Tl 3.37-3.57, 4 In 3.43-3.57, 1 Pb 3.49
Tl 0.7393 0.2610 0.9998  6 Tl 3.37-3.57, 4 In 3.43-3.57, 1 Pb 3.49
Tl 0.5944 0.1780 0.5942  5 Tl 3.14-3.38, 1 In 3.26
Tl 0.8220 0.4058 0.4056  5 Tl 3.14-3.38, 1 In 3.26
Tl 0.2610 0.9998 0.7393  6 Tl 3.37-3.57, 4 In 3.43-3.57, 1 Pb 3.49
Tl 0.4058 0.4056 0.8220  5 Tl 3.14-3.38, 1 In 3.26
Tl 0.5942 0.5944 0.1780  5 Tl 3.14-3.38, 1 In 3.26
Tl 0.7390 0.0002 0.2607  6 Tl 3.37-3.57, 4 In 3.43-3.57, 1 Pb 3.49
Tl 0.1780 0.5942 0.5944  5 Tl 3.14-3.38, 1 In 3.26
Tl 0.4056 0.8220 0.4058  5 Tl 3.14-3.38, 1 In 3.26
Tl 0.2607 0.7390 0.0002  6 Tl 3.37-3.57, 4 In 3.43-3.57, 1 Pb 3.49
Tl 0.9998 0.7393 0.2610  6 Tl 3.37-3.57, 4 In 3.43-3.57, 1 Pb 3.49
In 0.8343 0.5858 0.8338  3 In 3.32-3.51, 7 Tl 3.43-3.70, 1 Pb 3.48
In 0.4142 0.1662 0.1657  3 In 3.32-3.51, 7 Tl 3.43-3.70, 1 Pb 3.48
In 0.1662 0.1657 0.4142  3 In 3.32-3.51, 7 Tl 3.43-3.70, 1 Pb 3.48
In 0.5000 0.5000 0.5000  6 Tl 3.26, 6 In 3.51
In 0.8338 0.8343 0.5858  3 In 3.32-3.51, 7 Tl 3.43-3.70, 1 Pb 3.48
In 0.5858 0.8338 0.8343  3 In 3.32-3.51, 7 Tl 3.43-3.70, 1 Pb 3.48
In 0.1657 0.4142 0.1662  3 In 3.32-3.51, 7 Tl 3.43-3.70, 1 Pb 3.48
Pb 0.0000 0.0000 0.0000  6 In 3.48, 6 Tl 3.49

=====

Record 7
TlIn2Pb3 | GGA-PBE | optimized geometry

Total magnetic moment (μB per formula unit): 0.0
Total DFT energy (no corrections) (eV per cell): -18.8
DFT formation energy (meV/atom): 32
SG: P4/mmm, No. 123

Cell: 3.8563 3.8563 12.1500 Å, 90.00 90.00 90.00°
With the nearest neighbours (Å) after each atom.
Fractional coordinates of all 6 atoms:
Tl 0.5000 0.5000 0.5000  8 Pb 3.49, 4 Tl 3.86
In 0.5000 0.5000 0.8370  8 Pb 3.34-3.37
In 0.5000 0.5000 0.1630  8 Pb 3.34-3.37
Pb 0.0000 0.0000 0.0000  8 In 3.37
Pb 0.0000 0.0000 0.6787  4 In 3.34, 4 Tl 3.49
Pb 0.0000 0.0000 0.3213  4 In 3.34, 4 Tl 3.49

=====

Record 8
TlIn5Pb | GGA-PBE | optimized geometry

Total magnetic moment (μB per formula unit): 0.0
Total DFT energy (no corrections) (eV per cell): -38.6
DFT formation energy (meV/atom): 67
SG: C2/c, No. 15

Cell: 6.5446 8.1754 8.1755 Å, 93.23 101.48 101.48°
With the nearest neighbours (Å) after each atom.
Fractional coordinates of all 14 atoms:
Tl 0.0000 0.0000 0.0000  2 Tl 3.27, 8 In 3.46-3.51
Tl 0.5000 0.0000 0.0000  2 Tl 3.27, 8 In 3.46-3.51
In 0.6176 0.8783 0.6231  7 In 3.15-3.32, 1 Pb 3.27, 2 Tl 3.46-3.51
In 0.3712 0.3778 0.1039  6 In 3.15-3.37, 1 Pb 3.35, 2 Tl 3.46-3.47
In 0.1176 0.6231 0.8783  7 In 3.15-3.32, 1 Pb 3.27, 2 Tl 3.46-3.51
In 0.7500 0.2815 0.7185  6 In 3.25-3.37, 1 Pb 3.34
In 0.1288 0.8961 0.6222  6 In 3.15-3.37, 1 Pb 3.35, 2 Tl 3.46-3.47
In 0.8712 0.1039 0.3778  6 In 3.15-3.37, 1 Pb 3.35, 2 Tl 3.46-3.47
In 0.2500 0.7185 0.2815  6 In 3.25-3.37, 1 Pb 3.34
In 0.8824 0.3769 0.1217  7 In 3.15-3.32, 1 Pb 3.27, 2 Tl 3.46-3.51
In 0.6288 0.6222 0.8961  6 In 3.15-3.37, 1 Pb 3.35, 2 Tl 3.46-3.47
In 0.3824 0.1217 0.3769  7 In 3.15-3.32, 1 Pb 3.27, 2 Tl 3.46-3.51
Pb 0.7500 0.5629 0.4371  5 In 3.27-3.35, 2 Pb 3.60
Pb 0.2500 0.4371 0.5629  5 In 3.27-3.35, 2 Pb 3.60

=====

Record 9
TlIn8Pb6 | GGA-PBE | optimized geometry

Total magnetic moment (μB per formula unit): 0.0
Total DFT energy (no corrections) (eV per cell): -45.5
DFT formation energy (meV/atom): 67
SG: P-3, No. 147

Cell: 6.4688 9.0919 9.0918 Å, 120.00 90.00 90.00°
With the nearest neighbours (Å) after each atom.
Fractional coordinates of all 15 atoms:
Tl 0.5000 0.0000 0.0000  6 Pb 3.51
In 0.9246 0.9921 0.3218  5 In 3.12-3.32, 3 Pb 3.27-3.46
In 0.9246 0.6782 0.6703  5 In 3.12-3.32, 3 Pb 3.27-3.46
In 0.9246 0.3296 0.0079  5 In 3.12-3.32, 3 Pb 3.27-3.46
In 0.0754 0.0079 0.6782  5 In 3.12-3.32, 3 Pb 3.27-3.46
In 0.0754 0.3218 0.3297  5 In 3.12-3.32, 3 Pb 3.27-3.46
In 0.0754 0.6704 0.9921  5 In 3.12-3.32, 3 Pb 3.27-3.46
In 0.8593 0.3333 0.6667  6 In 3.15-3.32, 3 Pb 3.43
In 0.1407 0.6667 0.3333  6 In 3.15-3.32, 3 Pb 3.43
Pb 0.5709 0.7006 0.1317  4 In 3.27-3.46, 5 Pb 3.34-3.60, 1 Tl 3.51
Pb 0.5709 0.8683 0.5689  4 In 3.27-3.46, 5 Pb 3.34-3.60, 1 Tl 3.51
Pb 0.5709 0.4311 0.2994  4 In 3.27-3.46, 5 Pb 3.34-3.60, 1 Tl 3.51
Pb 0.4291 0.2994 0.8683  4 In 3.27-3.46, 5 Pb 3.34-3.60, 1 Tl 3.51
Pb 0.4291 0.1317 0.4311  4 In 3.27-3.46, 5 Pb 3.34-3.60, 1 Tl 3.51
Pb 0.4291 0.5689 0.7006  4 In 3.27-3.46, 5 Pb 3.34-3.60, 1 Tl 3.51

=====

Record 10
TlIn3Pb12 | GGA-PBE | optimized geometry

Total magnetic moment (μB per formula unit): 0.0
Total DFT energy (no corrections) (eV per cell): -55.0
DFT formation energy (meV/atom): 6
SG: P4/mmm, No. 123

Cell: 4.8823 4.8823 20.6625 Å, 90.00 90.00 90.00°
With the nearest neighbours (Å) after each atom.
Fractional coordinates of all 16 atoms:
Tl 0.0000 0.0000 0.0000  12 Pb 3.45-3.58
In 0.0000 0.0000 0.2510  12 Pb 3.45-3.55
In 0.0000 0.0000 0.5000  12 Pb 3.45-3.55
In 0.0000 0.0000 0.7490  12 Pb 3.45-3.55
Pb 0.5000 0.5000 0.0000  4 Tl 3.45, 8 Pb 3.58
Pb 0.5000 0.5000 0.2503  4 In 3.45, 8 Pb 3.53-3.56
Pb 0.5000 0.5000 0.5000  4 In 3.45, 8 Pb 3.55
Pb 0.5000 0.5000 0.7497  4 In 3.45, 8 Pb 3.53-3.56
Pb 0.5000 0.0000 0.1267  8 Pb 3.45-3.58, 2 In 3.54, 2 Tl 3.58
Pb 0.5000 0.0000 0.3755  8 Pb 3.45-3.56, 4 In 3.55
Pb 0.5000 0.0000 0.6245  8 Pb 3.45-3.56, 4 In 3.55
Pb 0.5000 0.0000 0.8733  8 Pb 3.45-3.58, 2 In 3.54, 2 Tl 3.58
Pb 0.0000 0.5000 0.1267  8 Pb 3.45-3.58, 2 In 3.54, 2 Tl 3.58
Pb 0.0000 0.5000 0.3755  8 Pb 3.45-3.56, 4 In 3.55
Pb 0.0000 0.5000 0.6245  8 Pb 3.45-3.56, 4 In 3.55
Pb 0.0000 0.5000 0.8733  8 Pb 3.45-3.58, 2 In 3.54, 2 Tl 3.58

=====

Record 11
Tl4In2Pb | GGA-PBE | optimized geometry

Total magnetic moment (μB per formula unit): 0.0
Total DFT energy (no corrections) (eV per cell): -36.3
DFT formation energy (meV/atom): 69
SG: I-42d, No. 122

Cell: 8.2770 8.2770 8.2770 Å, 109.34 109.74 109.34°
With the nearest neighbours (Å) after each atom.
Fractional coordinates of all 14 atoms:
Pb 0.7500 0.5000 0.2500  8 Tl 3.32-3.35
Pb 0.0000 0.0000 0.0000  8 Tl 3.32-3.35
Tl 0.7835 0.2489 0.8684  4 In 3.24-3.35, 2 Pb 3.32-3.35, 2 Tl 3.53-3.56
Tl 0.9665 0.5848 0.7154  4 In 3.24-3.35, 2 Pb 3.32-3.35, 2 Tl 3.53-3.56
Tl 0.6195 0.7511 0.5346  4 In 3.24-3.35, 2 Pb 3.32-3.35, 2 Tl 3.53-3.56
Tl 0.1305 0.4152 0.3816  4 In 3.24-3.35, 2 Pb 3.32-3.35, 2 Tl 3.53-3.56
Tl 0.4654 0.0848 0.2165  4 In 3.24-3.35, 2 Pb 3.32-3.35, 2 Tl 3.53-3.56
Tl 0.6184 0.7489 0.0335  4 In 3.24-3.35, 2 Pb 3.32-3.35, 2 Tl 3.53-3.56
Tl 0.2846 0.2511 0.8695  4 In 3.24-3.35, 2 Pb 3.32-3.35, 2 Tl 3.53-3.56
Tl 0.1316 0.9152 0.3805  4 In 3.24-3.35, 2 Pb 3.32-3.35, 2 Tl 3.53-3.56
In 0.3750 0.8805 0.7555  8 Tl 3.24-3.35
In 0.5055 0.3805 0.6250  8 Tl 3.24-3.35
In 0.8750 0.1195 0.4945  8 Tl 3.24-3.35
In 0.2445 0.6195 0.1250  8 Tl 3.24-3.35

=====

Record 12
Tl2InPb12 | GGA-PBE | optimized geometry

Total magnetic moment (μB per formula unit): 0.0
Total DFT energy (no corrections) (eV per cell): -101.1
DFT formation energy (meV/atom): 94
SG: P4/nbm, No. 125

Cell: 7.1693 7.1693 20.4630 Å, 90.00 90.00 90.00°
With the nearest neighbours (Å) after each atom.
Fractional coordinates of all 30 atoms:
Tl 0.5000 0.0000 0.2642  10 Pb 3.81-3.96
Tl 0.0000 0.5000 0.2642  10 Pb 3.81-3.96
Tl 0.0000 0.5000 0.7358  10 Pb 3.81-3.96
Tl 0.5000 0.0000 0.7358  10 Pb 3.81-3.96
In 0.5000 0.0000 0.0000  8 Pb 3.19-3.20
In 0.0000 0.5000 0.0000  8 Pb 3.19-3.20
Pb 0.5000 0.5000 0.8055  5 Pb 3.10-3.25
Pb 0.0000 0.0000 0.8055  5 Pb 3.10-3.25
Pb 0.7506 0.7494 0.9049  2 In 3.19-3.20, 2 Pb 3.25
Pb 0.2506 0.7506 0.9049  2 In 3.19-3.20, 2 Pb 3.25
Pb 0.0000 0.0000 0.3460  5 Pb 3.10-3.20
Pb 0.2494 0.7494 0.0951  2 In 3.19-3.20, 2 Pb 3.25
Pb 0.8363 0.3363 0.5684  4 Pb 3.20-3.32
Pb 0.5000 0.5000 0.3460  5 Pb 3.10-3.20
Pb 0.2494 0.2506 0.9049  2 In 3.19-3.20, 2 Pb 3.25
Pb 0.7494 0.7506 0.0951  2 In 3.19-3.20, 2 Pb 3.25
Pb 0.3363 0.1637 0.5684  4 Pb 3.20-3.32
Pb 0.6637 0.1637 0.4316  4 Pb 3.20-3.32
Pb 0.0000 0.0000 0.6540  5 Pb 3.10-3.20
Pb 0.1637 0.3363 0.4316  4 Pb 3.20-3.32
Pb 0.2506 0.2494 0.0951  2 In 3.19-3.20, 2 Pb 3.25
Pb 0.8363 0.6637 0.4316  4 Pb 3.20-3.32
Pb 0.6637 0.8363 0.5684  4 Pb 3.20-3.32
Pb 0.0000 0.0000 0.1945  5 Pb 3.10-3.25
Pb 0.1637 0.6637 0.5684  4 Pb 3.20-3.32
Pb 0.5000 0.5000 0.6540  5 Pb 3.10-3.20
Pb 0.7494 0.2494 0.9049  2 In 3.19-3.20, 2 Pb 3.25
Pb 0.5000 0.5000 0.1945  5 Pb 3.10-3.25
Pb 0.3363 0.8363 0.4316  4 Pb 3.20-3.32
Pb 0.7506 0.2506 0.0951  2 In 3.19-3.20, 2 Pb 3.25